DFT (PBE) results for a geometry-optimized SrAl2Ni structure.

The structure in POSCAR format:
```
SrAl2Ni
1.0
2.388 1.379 3.899
-2.388 1.379 3.899
0.000 -2.757 3.899
Sr Al Ni
1 2 1
direct
0.500 0.500 0.500
0.750 0.750 0.750
0.000 0.000 0.000
0.250 0.250 0.250
```

## Properties
* DFT total energy: -14.44 eV per cell

---

DFT (PBE) results for a geometry-optimized TbErC2Br2 structure.

The structure in POSCAR format:
```
TbErC2Br2
1.0
-1.053 0.428 -3.826
-3.789 0.157 -1.243
0.676 10.773 1.847
Tb Br C Er
1 2 2 1
direct
0.144 0.144 0.632
0.179 0.179 0.198
0.823 0.823 0.806
0.575 0.575 0.464
0.425 0.425 0.531
0.855 0.855 0.369
```

## Properties
* DFT total energy: -37.44 eV per cell

---

DFT (PBE) results for a geometry-optimized YPu structure.

The structure in POSCAR format:
```
YPu
1.0
0.000 3.306 3.306
3.306 0.000 3.306
3.306 3.306 0.000
Pu Y
1 1
direct
0.000 0.000 0.000
0.250 0.250 0.250
```

## Properties
* DFT total energy: -17.18 eV per cell
* energy above the most stable polymorph in this dataset: 1.584 eV per atom

---

DFT (PBE) results for a geometry-optimized Nd2W structure.

The structure in POSCAR format:
```
Nd2W
1.0
0.000 4.264 4.264
4.264 0.000 4.264
4.264 4.264 0.000
Nd W
4 2
direct
0.625 0.125 0.625
0.125 0.625 0.625
0.625 0.625 0.625
0.625 0.625 0.125
0.000 0.000 0.000
0.250 0.250 0.250
```

## Properties
* DFT total energy: -35.97 eV per cell
* energy above the most stable polymorph in this dataset: 0.000 eV per atom